# AsPd3I

A relaxed AsPd3I crystal (PBEsol, Alexandria).

## Properties
- uncorrected energy (eV/atom) = -4.0580

Cell: 4.887 4.887 4.887 Å, 90.00 90.00 90.00°
Space group Pm-3m (No. 221)
Asymmetric unit:
As: 0.000 0.000 0.000 [1 per cell]
Pd: 0.000 0.500 0.500 [3 per cell]
I: 0.500 0.500 0.500 [1 per cell]



# As2Pt2I

A relaxed As2Pt2I crystal (PBEsol, Alexandria).

## Properties
- uncorrected energy (eV/atom) = -5.1433
- ΔE to the lowest computed polymorph (eV per formula unit) = 1.128

Cell: 4.260 4.260 11.030 Å, 90.00 90.00 90.00°
Space group I4/mmm (No. 139)
Asymmetric unit:
As: 0.000 0.500 0.250 [4 per cell]
Pt: 0.000 0.000 0.125 [4 per cell]
I: 0.000 0.000 0.500 [2 per cell]



# As2Pt2I

A relaxed As2Pt2I crystal (PBEsol, Alexandria).

## Properties
- uncorrected energy (eV/atom) = -5.3689
- ΔE to the lowest computed polymorph (eV per formula unit) = 0.000

Cell: 3.848 3.848 14.972 Å, 90.00 90.00 90.00°
Space group I4/mmm (No. 139)
Asymmetric unit:
As: 0.000 0.000 0.141 [4 per cell]
Pt: 0.000 0.500 0.250 [4 per cell]
I: 0.000 0.000 0.500 [2 per cell]



# RbSb2AsI

A relaxed RbSb2AsI crystal (PBEsol, Alexandria).

## Properties
- uncorrected energy (eV/atom) = -1.9279

Cell: 7.821 7.821 6.702 Å, 90.00 90.00 90.00°
Space group P4/mmm (No. 123)
Asymmetric unit:
Rb: 0.000 0.000 0.000 [1 per cell]
Sb: 0.000 0.500 0.000 [2 per cell]
As: 0.500 0.500 0.500 [1 per cell]
I: 0.000 0.000 0.500 [1 per cell]



# RbSbAsI2

A relaxed RbSbAsI2 crystal (PBEsol, Alexandria).

## Properties
- uncorrected energy (eV/atom) = -3.0599

Cell: 5.936 5.936 5.347 Å, 90.00 90.00 90.00°
Space group P4/mmm (No. 123)
Asymmetric unit:
Rb: 0.000 0.000 0.000 [1 per cell]
Sb: 0.500 0.500 0.000 [1 per cell]
As: 0.500 0.500 0.500 [1 per cell]
I: 0.000 0.500 0.500 [2 per cell]



# RbAs2SeI

A relaxed RbAs2SeI crystal (PBEsol, Alexandria).

## Properties
- uncorrected energy (eV/atom) = -2.8342

Cell: 5.403 5.403 5.557 Å, 90.00 90.00 90.00°
Space group P4/mmm (No. 123)
Asymmetric unit:
Rb: 0.000 0.000 0.000 [1 per cell]
As: 0.000 0.500 0.500 [2 per cell]
Se: 0.500 0.500 0.000 [1 per cell]
I: 0.500 0.500 0.500 [1 per cell]



# ReAs2I

A relaxed ReAs2I crystal (PBEsol, Alexandria).

## Properties
- uncorrected energy (eV/atom) = -5.7360

Cell: 6.616 6.616 10.257 Å, 90.00 90.00 90.00°
Space group I-42d (No. 122)
Asymmetric unit:
Re: 0.000 0.000 0.000 [4 per cell]
As: 0.155 0.750 0.125 [8 per cell]
I: 0.000 0.000 0.500 [4 per cell]



# ReSb2AsI

A relaxed ReSb2AsI crystal (PBEsol, Alexandria).

## Properties
- uncorrected energy (eV/atom) = -4.9396

Cell: 5.018 5.018 5.515 Å, 90.00 90.00 90.00°
Space group P4/mmm (No. 123)
Asymmetric unit:
Re: 0.000 0.000 0.000 [1 per cell]
Sb: 0.000 0.500 0.000 [2 per cell]
As: 0.500 0.500 0.500 [1 per cell]
I: 0.000 0.000 0.500 [1 per cell]



Magnetization for every record listed, in sequence, given in μB/atom: 0.00; 0.00; 0.00; 1.79; 0.11; 0.09; 0.00; 0.00.
Energy relative to the elements, uncorrected for every record listed, in sequence, given in eV/atom: 0.892; 0.038; -0.188; 1.475; -0.215; 0.537; 0.592; 0.924.